Mg2BrO2: optimized geometry, PBE.

Cell: 4.0529 4.0529 10.2811 Å, 90.00 90.00 90.00°
With the nearest neighbours (Å) after each atom.
Space group I4/mmm (No. 139)
Unique sites:
Mg 0.0000 0.5000 0.2500 (multiplicity 4)  4 O 2.03
Br 0.0000 0.0000 0.0000 (multiplicity 2)  2 O 2.75
O 0.0000 0.0000 0.2674 (multiplicity 4)  4 Mg 2.03

Calculated values
Raw formation energy = -1.82 eV per atom
ΔE to the lowest computed polymorph = 0 meV/atom
Electronic total energy = -0.3512 Ry per atom
Size of the total moment = 0.200 μB per atom

---

MgBr2O: optimized geometry, PBE.

Cell: 4.0103 4.0103 20.8750 Å, 90.00 90.00 120.00°
With the nearest neighbours (Å) after each atom.
Space group R-3m (No. 166, hexagonal axes)
Unique sites:
Mg 0.0000 0.0000 0.0000 (multiplicity 3)  6 Br 2.72
Br 0.0000 0.0000 0.4019 (multiplicity 6)  1 O 2.05
O 0.0000 0.0000 0.5000 (multiplicity 3)  2 Br 2.05

Calculated values
Raw formation energy = -0.41 eV per atom
ΔE to the lowest computed polymorph = 501 meV/atom
Electronic total energy = -0.2118 Ry per atom
Size of the total moment = 0.000 μB per atom

---

MgPBrO2: optimized geometry, PBE.

Cell: 3.9332 3.9332 5.0906 Å, 90.00 90.00 90.00°
With the nearest neighbours (Å) after each atom.
Space group P4/mmm (No. 123)
Unique sites:
Mg 0.0000 0.0000 0.0000 (multiplicity 1)  4 P 2.78
P 0.5000 0.5000 0.0000 (multiplicity 1)  2 Br 2.55, 4 Mg 2.78
Br 0.5000 0.5000 0.5000 (multiplicity 1)  4 O 1.97
O 0.0000 0.5000 0.5000 (multiplicity 2)  2 Br 1.97

Calculated values
Raw formation energy = 0.36 eV per atom
ΔE to the lowest computed polymorph = 465 meV/atom
Electronic total energy = -0.2466 Ry per atom
Size of the total moment = 0.000 μB per atom

---

MgP4Br12O4: optimized geometry, PBE.

Cell: 8.0104 10.5677 9.8646 Å, 90.00 98.25 90.00°
With the nearest neighbours (Å) after each atom.
Space group Pm (No. 6)
Unique sites:
Mg 0.0000 0.0000 0.0000 (multiplicity 1)  1 O 1.98
P 0.0577 0.0000 0.6608 (multiplicity 1)  1 O 1.49
P 0.3989 0.5000 0.8013 (multiplicity 1)  1 O 1.48
P 0.4006 0.0000 0.1894 (multiplicity 1)  1 O 1.48
P 0.8422 0.5000 0.2646 (multiplicity 1)  1 O 1.47
Br 0.0588 0.5000 0.4287 (multiplicity 1)  1 P 2.20
Br 0.1704 0.1731 0.1391 (multiplicity 2)  1 Mg 2.56, 1 P 2.59
Br 0.1832 0.1654 0.5928 (multiplicity 2)  1 P 2.17
Br 0.1875 0.5000 0.9210 (multiplicity 1)  1 P 2.20
Br 0.5507 0.3334 0.8745 (multiplicity 2)  1 P 2.20
Br 0.6900 0.3355 0.3106 (multiplicity 2)  1 P 2.21
Br 0.6939 0.0000 0.9765 (multiplicity 1)  1 Mg 2.43
Br 0.8026 0.0000 0.5496 (multiplicity 1)  1 P 2.18
O 0.0624 0.0000 0.8127 (multiplicity 1)  1 P 1.49
O 0.3459 0.5000 0.6512 (multiplicity 1)  1 P 1.48
O 0.4588 0.0000 0.3389 (multiplicity 1)  1 P 1.48
O 0.8868 0.5000 0.1247 (multiplicity 1)  1 P 1.47

Calculated values
Raw formation energy = -0.88 eV per atom
ΔE to the lowest computed polymorph = 3 meV/atom
Electronic total energy = -0.2855 Ry per atom
Size of the total moment = 0.000 μB per atom

---

MgP4Br12O4: optimized geometry, PBE.

Cell: 7.5790 9.6778 11.4273 Å, 90.42 92.27 97.65°
With the nearest neighbours (Å) after each atom.
Space group P1 (No. 1)
Unique sites:
Mg 0.0000 0.0000 0.0000 (multiplicity 1)  1 O 1.98
P 0.0768 0.6570 0.0346 (multiplicity 1)  1 O 1.49
P 0.4396 0.1542 0.0402 (multiplicity 1)  1 O 1.48
P 0.5440 0.8083 0.4528 (multiplicity 1)  1 O 1.48
P 0.8868 0.3132 0.5314 (multiplicity 1)  1 O 1.47
Br 0.1284 0.1518 0.1690 (multiplicity 1)  1 Mg 2.50
Br 0.1315 0.4619 0.5193 (multiplicity 1)  1 P 2.20
Br 0.2285 0.6006 0.8875 (multiplicity 1)  1 P 2.18
Br 0.2312 0.6240 0.1936 (multiplicity 1)  1 P 2.17
Br 0.2395 0.0979 0.8583 (multiplicity 1)  1 P 2.54, 1 Mg 2.57
Br 0.3999 0.9747 0.3822 (multiplicity 1)  1 P 2.20
Br 0.5972 0.8610 0.6392 (multiplicity 1)  1 P 2.20
Br 0.6912 0.9964 0.9232 (multiplicity 1)  1 Mg 2.46
Br 0.7113 0.3714 0.3866 (multiplicity 1)  1 P 2.20
Br 0.7609 0.3769 0.6905 (multiplicity 1)  1 P 2.21
Br 0.8064 0.8423 0.3741 (multiplicity 1)  1 P 2.20
Br 0.8339 0.5096 0.0336 (multiplicity 1)  1 P 2.17
O 0.0397 0.8046 0.0267 (multiplicity 1)  1 P 1.49
O 0.4468 0.6670 0.4291 (multiplicity 1)  1 P 1.48
O 0.5144 0.3030 0.0322 (multiplicity 1)  1 P 1.48
O 0.9150 0.1656 0.5302 (multiplicity 1)  1 P 1.47

Calculated values
Raw formation energy = -0.88 eV per atom
ΔE to the lowest computed polymorph = 0 meV/atom
Electronic total energy = -0.2857 Ry per atom
Size of the total moment = 0.000 μB per atom

---

MgPBrO2: optimized geometry, PBE.

Cell: 3.8662 3.8662 6.1631 Å, 90.00 90.00 90.00°
With the nearest neighbours (Å) after each atom.
Space group P4/mmm (No. 123)
Unique sites:
Mg 0.0000 0.0000 0.0000 (multiplicity 1)  4 O 1.93
P 0.0000 0.0000 0.5000 (multiplicity 1)  4 Br 2.73
Br 0.5000 0.5000 0.5000 (multiplicity 1)  4 P 2.73
O 0.0000 0.5000 0.0000 (multiplicity 2)  2 Mg 1.93

Calculated values
Raw formation energy = -0.10 eV per atom
ΔE to the lowest computed polymorph = 0 meV/atom
Electronic total energy = -0.2808 Ry per atom
Size of the total moment = 0.538 μB per atom

---

MgTe4Pb6Br4O12: optimized geometry, PBE.

Cell: 5.8443 9.1518 12.6734 Å, 76.41 87.45 74.74°
With the nearest neighbours (Å) after each atom.
Space group P1 (No. 1)
Unique sites:
Mg 0.0000 0.0000 0.0000 (multiplicity 1)  1 O 1.94
Te 0.2292 0.1119 0.5412 (multiplicity 1)  3 O 1.88-1.92
Te 0.4124 0.6044 0.8532 (multiplicity 1)  3 O 1.94-2.03
Te 0.6175 0.2561 0.0031 (multiplicity 1)  2 O 2.00-2.10
Te 0.9914 0.6070 0.3901 (multiplicity 1)  3 O 1.88-1.92
Pb 0.1572 0.2677 0.1804 (multiplicity 1)  2 O 2.27-2.34
Pb 0.3697 0.7020 0.5618 (multiplicity 1)  5 O 2.51-2.70
Pb 0.4399 0.7885 0.2112 (multiplicity 1)  3 O 2.27-2.36
Pb 0.6729 0.0403 0.3457 (multiplicity 1)  2 O 2.28-2.50
Pb 0.8022 0.9131 0.7040 (multiplicity 1)  3 O 2.36-2.55
Pb 0.9961 0.4436 0.7476 (multiplicity 1)  5 O 2.44-2.67
Br 0.2436 0.0255 0.8341 (multiplicity 1)  1 Mg 2.49
Br 0.6177 0.4060 0.2716 (multiplicity 1)  3 Pb 3.19-3.34, 1 O 3.53
Br 0.6405 0.2853 0.6183 (multiplicity 1)  2 Pb 3.21-3.48, 2 Te 3.49-3.59, 2 O 3.51-3.57
Br 0.9572 0.7319 0.0644 (multiplicity 1)  1 Mg 2.47
O 0.0155 0.5901 0.5404 (multiplicity 1)  1 Te 1.88
O 0.0594 0.9543 0.5578 (multiplicity 1)  1 Te 1.92
O 0.1534 0.6719 0.7375 (multiplicity 1)  1 Te 2.03
O 0.1594 0.7625 0.3490 (multiplicity 1)  1 Te 1.90
O 0.2533 0.1603 0.3893 (multiplicity 1)  1 Te 1.88
O 0.3378 0.4060 0.8722 (multiplicity 1)  1 Te 1.94
O 0.4406 0.0385 0.2060 (multiplicity 1)  3 Pb 2.27-2.28
O 0.5267 0.9554 0.5587 (multiplicity 1)  1 Te 1.92
O 0.6272 0.6478 0.7364 (multiplicity 1)  1 Te 1.94
O 0.6824 0.7490 0.3641 (multiplicity 1)  1 Te 1.92
O 0.7394 0.4361 0.9245 (multiplicity 1)  2 Te 2.00-2.19
O 0.9396 0.1512 0.0895 (multiplicity 1)  1 Mg 1.94, 1 Te 2.10

Calculated values
Raw formation energy = -1.09 eV per atom
ΔE to the lowest computed polymorph = 0 meV/atom
Electronic total energy = -0.3595 Ry per atom
Size of the total moment = 0.000 μB per atom

---

MgTe4Pb6Br4O12: optimized geometry, PBE.

Cell: 5.7948 9.5889 12.2332 Å, 104.76 91.09 106.23°
With the nearest neighbours (Å) after each atom.
Space group P1 (No. 1)
Unique sites:
Mg 0.0000 0.0000 0.0000 (multiplicity 1)  3 Br 2.56-2.62, 1 Te 2.81
Te 0.2347 0.4108 0.4503 (multiplicity 1)  3 O 1.87-1.92
Te 0.5576 0.9932 0.6454 (multiplicity 1)  3 O 1.89-1.91
Te 0.8166 0.5066 0.9587 (multiplicity 1)  4 O 1.97-2.06
Te 0.9655 0.8305 0.1589 (multiplicity 1)  2 O 2.07-2.11
Pb 0.0834 0.0386 0.4540 (multiplicity 1)  4 O 2.51-2.71
Pb 0.1931 0.2397 0.8207 (multiplicity 1)  4 O 2.39-2.51
Pb 0.3854 0.6638 0.8589 (multiplicity 1)  4 O 2.37-2.53
Pb 0.4388 0.7611 0.3122 (multiplicity 1)  3 O 2.30-2.39
Pb 0.6122 0.1571 0.2675 (multiplicity 1)  4 O 2.41-2.52
Pb 0.7796 0.3832 0.6461 (multiplicity 1)  4 O 2.43-2.62
Br 0.1928 0.2739 0.1186 (multiplicity 1)  1 Mg 2.57
Br 0.5763 0.0402 0.9719 (multiplicity 1)  1 Mg 2.62
Br 0.8587 0.6574 0.4314 (multiplicity 1)  3 Pb 3.32-3.67, 1 Te 3.68
Br 0.9851 0.8578 0.7910 (multiplicity 1)  1 Mg 2.56
O 0.0139 0.4419 0.8273 (multiplicity 1)  1 Te 2.06
O 0.1171 0.6754 0.0021 (multiplicity 1)  1 Te 1.97
O 0.2315 0.4662 0.6085 (multiplicity 1)  1 Te 1.87
O 0.2728 0.9482 0.2762 (multiplicity 1)  1 Te 2.11
O 0.3801 0.1345 0.6609 (multiplicity 1)  1 Te 1.89
O 0.4095 0.2649 0.4347 (multiplicity 1)  1 Te 1.92
O 0.5137 0.9398 0.4853 (multiplicity 1)  1 Te 1.89
O 0.5581 0.4434 0.8288 (multiplicity 1)  1 Te 2.01
O 0.6627 0.6712 0.0104 (multiplicity 1)  1 Te 2.00
O 0.7604 0.9366 0.2680 (multiplicity 1)  1 Te 2.07, 1 Pb 2.31
O 0.8602 0.1446 0.6613 (multiplicity 1)  1 Te 1.91
O 0.9314 0.2557 0.4240 (multiplicity 1)  1 Te 1.92

Calculated values
Raw formation energy = -1.09 eV per atom
ΔE to the lowest computed polymorph = 2 meV/atom
Electronic total energy = -0.3594 Ry per atom
Size of the total moment = 0.000 μB per atom